{"formula": "LiCaZrPt", "functional": "PBE", "state": "optimized geometry", "formation_energy_ev_per_atom": -0.40, "magmom_total_mub_per_fu": 0.000, "n_ef_per_ev_atom": 0.908, "energy_ev_per_cell": -20.109, "space_group": "No. 216", "cell": [[-0.769, 3.673, 3.054], [-4.440, 0.805, 1.746], [-0.966, -0.888, 4.657]], "species": ["Zr", "Ca", "Pt", "Li"], "frac_coords": [[0.000, 0.000, 0.000], [0.500, 0.500, 0.500], [0.250, 0.250, 0.250], [0.750, 0.750, 0.750]]}